Entry from Alexandria: an optimized crystal structure of Mn4Au (PBE).

DOS(E_F): 4.876 states/eV per cell
Energy of formation: 0.323 eV/atom
Energy above the lowest structure with this stoichiometry: 0.000 eV/f.u.
Symmetry: R-3m

Unit cell a=10.6095 b=10.6095 c=10.6095 alpha=14.79 beta=14.79 gamma=14.79
Each line ends with the local moment (μB).
Element x y z (fractional)
Mn 0.4078 0.4078 0.4078  3.19
Mn 0.8052 0.8052 0.8052  0.69
Mn 0.1948 0.1948 0.1948  0.69
Mn 0.5922 0.5922 0.5922  3.19
Au 0.0000 0.0000 0.0000  0.03

***

Entry from Alexandria: an optimized crystal structure of Co2PbBr (PBE).

ΔE_f (raw): 0.680 eV per atom
DOS(E_F): 5.373 states/eV per cell
Energy above the lowest structure with this stoichiometry: 1.654 eV/f.u.
Symmetry: P2/m

Unit cell a=3.2916 b=5.7419 c=5.5884 alpha=43.81 beta=90.00 gamma=90.00
Each line ends with the local moment (μB).
Element x y z (fractional)
Br 0.0000 0.0000 0.5000  0.07
Co 0.0000 0.0000 0.0000  1.28
Co 0.5000 0.5000 0.0000  1.66
Pb 0.5000 0.5000 0.5000  -0.05

***

Entry from Alexandria: an optimized crystal structure of CeErTe2 (PBE).

ΔE_f (raw): -1.172 eV per atom
DOS(E_F): 6.580 states/eV per cell
Energy above the lowest structure with this stoichiometry: 0.538 eV/f.u.
Symmetry: P4/mmm

Unit cell a=3.8185 b=5.3760 c=5.3760 alpha=90.00 beta=90.00 gamma=90.00
Each line ends with the local moment (μB).
Element x y z (fractional)
Te 0.0000 0.0000 0.5000  -0.03
Te 0.0000 0.5000 0.0000  -0.03
Ce 0.5000 0.5000 0.5000  1.09
Er 0.5000 0.0000 0.0000  0.44

***

Entry from Alexandria: an optimized crystal structure of Li3Ce2HoSe6 (PBE).

ΔE_f (raw): -1.626 eV per atom
DOS(E_F): 12.997 states/eV per cell
Symmetry: C2/m

Unit cell a=7.2163 b=7.2163 c=6.9204 alpha=99.95 beta=99.95 gamma=120.04
Each line ends with the local moment (μB).
Element x y z (fractional)
Li 0.1617 0.8383 0.5000  0.00
Li 0.8383 0.1617 0.5000  0.00
Li 0.5000 0.5000 0.5000  0.00
Ce 0.3328 0.6672 0.0000  0.93
Ce 0.6672 0.3328 0.0000  0.93
Ho 0.0000 0.0000 0.0000  0.02
Se 0.9143 0.5901 0.7424  -0.01
Se 0.7599 0.7599 0.2553  -0.01
Se 0.0857 0.4099 0.2576  -0.01
Se 0.5901 0.9143 0.7424  -0.01
Se 0.2401 0.2401 0.7447  -0.01
Se 0.4099 0.0857 0.2576  -0.01

***

Entry from Alexandria: an optimized crystal structure of LaTbTmZr (PBE).

DOS(E_F): 7.750 states/eV per cell
Energy of formation: 0.216 eV/atom
Symmetry: F-43m

Unit cell a=5.5346 b=5.5346 c=5.5346 alpha=60.00 beta=60.00 gamma=60.00
Each line ends with the local moment (μB).
Element x y z (fractional)
Tm 0.5000 0.5000 0.5000  0.08
Tb 0.0000 0.0000 0.0000  0.09
Zr 0.7500 0.7500 0.7500  0.35
La 0.2500 0.2500 0.2500  0.00

***

Entry from Alexandria: an optimized crystal structure of Ac2Pm7Pr3 (PBE).

DOS(E_F): 19.099 states/eV per cell
Energy of formation: 0.087 eV/atom
Energy above the lowest structure with this stoichiometry: 0.000 eV/f.u.
Symmetry: P2/m

Unit cell a=3.6826 b=6.5712 c=18.7500 alpha=76.18 beta=90.00 gamma=90.00
Element x y z (fractional)
Ac 0.5000 0.6164 0.3270
Ac 0.5000 0.3836 0.6730
Pm 0.5000 0.2403 0.5001
Pm 0.5000 0.7597 0.4999
Pm 0.0000 0.5629 0.1609
Pm 0.0000 0.0000 0.0000
Pm 0.0000 0.4371 0.8391
Pm 0.5000 0.9352 0.8368
Pm 0.5000 0.0648 0.1632
Pr 0.5000 0.5000 0.0000
Pr 0.0000 0.1137 0.3386
Pr 0.0000 0.8863 0.6614

***

Entry from Alexandria: an optimized crystal structure of NdHg2Au (PBE).

DOS(E_F): 2.639 states/eV per cell
Energy of formation: 0.140 eV/atom
Symmetry: R-3m

Unit cell a=3.4881 b=3.4881 c=10.7093 alpha=80.63 beta=80.63 gamma=60.00
Element x y z (fractional)
Nd 0.0000 0.0000 0.0000
Au 0.5000 0.5000 0.5000
Hg 0.0983 0.0983 0.7052
Hg 0.9017 0.9017 0.2948

***

Entry from Alexandria: an optimized crystal structure of Zr2ZnSi (PBE).

ΔE_f (raw): -0.392 eV per atom
DOS(E_F): 1.995 states/eV per cell
Symmetry: I-4m2

Unit cell a=5.4922 b=5.4922 c=5.4922 alpha=137.72 beta=137.72 gamma=61.34
Element x y z (fractional)
Si 0.5000 0.5000 0.0000
Zn 0.7500 0.2500 0.5000
Zr 0.0000 0.0000 0.0000
Zr 0.2500 0.7500 0.5000